Density functional theory data (PBE) for a relaxed structure of Nd3Ga3Si2.

```
16
Lattice="-2.791 -1.653 -2.528 1.985 -4.148 3.867 -11.460 3.918 10.087" Properties=species:S:1:pos:R:3 pbc="T T T"
Nd -5.671 -2.719 4.693
Nd -10.245 2.084 9.945
Nd -2.021 -3.967 1.480
Nd -6.594 0.836 6.732
Nd -4.189 -0.448 1.572
Nd -8.076 -1.435 9.853
Ga -6.383 0.210 3.563
Ga -10.293 -0.586 11.744
Ga -1.973 -1.298 -0.319
Ga -5.882 -2.094 7.862
Ga -2.521 -1.922 4.040
Ga -9.744 0.039 7.386
Si -11.054 -0.901 9.446
Si -4.174 0.030 4.587
Si -8.092 -1.914 6.838
Si -1.211 -0.983 1.979
```

Properties
Its symmetry is Cmcm (63). The calculation puts the raw formation energy at -0.676 eV/atom. For the total magnetization, the calculation gives 0.000 μB per formula unit. The calculation puts the calculated total energy at -79.3 eV per cell.